A plane-wave DFT calculation with GGA-PBE was carried out for an optimized crystal structure of K4Cr3Cl10.

Properties
The calculation puts the formation energy from raw total energies at -24.6 eV/f.u. As for the crystal system: tetragonal. Its space group is I4/mmm, No. 139.

Structure (extended XYZ):
```
17
Lattice="-2.4930 2.4930 17.6529 2.4930 -2.4930 17.6529 2.4930 2.4930 -17.6529" Properties=species:S:1:pos:R:3 pbc="T T T"
K 0.0000 0.0000 2.4314
K 0.0000 0.0000 7.0777
K 0.0000 0.0000 28.2282
K 0.0000 0.0000 32.8744
Cr 0.0000 0.0000 12.6703
Cr 0.0000 0.0000 17.6529
Cr 0.0000 0.0000 22.6356
Cl 2.4930 0.0000 0.0000
Cl 2.4930 0.0000 4.9258
Cl 0.0000 0.0000 10.2251
Cl 2.4930 0.0000 12.7271
Cl 0.0000 0.0000 15.1385
Cl 0.0000 2.4930 0.0000
Cl 0.0000 0.0000 20.1674
Cl 0.0000 2.4930 4.9258
Cl 0.0000 0.0000 25.0808
Cl 0.0000 2.4930 12.7271
```